Record 1
Ta2PRh | GGA-PBE | relaxed

Cell and atoms, written as extended XYZ:
```
4
Lattice="-1.0617 2.1966 -2.2482 -2.5047 -2.0248 -0.7955 -3.3477 2.5436 4.0662" Properties=species:S:1:pos:R:3 pbc="T T T"
Ta -3.2384 2.4605 3.9334
Ta -2.7556 0.8247 -0.3407
P -1.5975 1.2138 1.9404
Rh -4.3441 2.0317 1.5887
```

Calculated values
DFT formation energy	-439	meV/atom

Record 2
TbTaP2Rh5 | GGA-PBE | relaxed

Cell and atoms, written as extended XYZ:
```
9
Lattice="-0.7169 -1.6488 3.5880 -2.2131 -2.8523 -1.7529 8.3689 -5.8648 -1.0229" Properties=species:S:1:pos:R:3 pbc="T T T"
P 6.0051 -4.2083 -0.7340
P 2.3639 -1.6566 -0.2889
Rh 5.8486 -6.3003 -1.7266
Rh 6.5967 -5.6985 0.9439
Rh 0.3072 -2.4169 -1.0493
Rh 1.0553 -1.8151 1.6212
Rh 4.1845 -2.9324 -0.5115
Tb 2.7195 -5.1830 0.4061
Ta 0.0000 0.0000 0.0000
```

Calculated values
DFT formation energy	-435	meV/atom

Record 3
Tb3TaP2Rh9 | GGA-PBE | relaxed

Cell and atoms, written as extended XYZ:
```
15
Lattice="5.9215 0.0000 0.0000 -2.9608 5.1282 0.0000 0.0000 0.0000 9.2278" Properties=species:S:1:pos:R:3 pbc="T T T"
Rh 1.5437 4.3101 2.7265
Rh 1.4170 0.8181 6.5013
Rh -1.5437 4.3101 2.7265
Rh 2.9608 3.4920 6.5013
Rh 2.9608 0.0000 0.0000
Rh 0.0000 1.6362 2.7265
Rh 4.5045 0.8181 6.5013
Rh -1.4804 2.5641 0.0000
Rh 1.4804 2.5641 0.0000
P 2.9608 1.7094 7.7959
P 0.0000 3.4188 1.4319
Ta 0.0000 0.0000 4.6139
Tb 0.0000 0.0000 0.0000
Tb 0.0000 3.4188 5.7434
Tb 2.9608 1.7094 3.4844
```

Calculated values
DFT formation energy	-597	meV/atom

Record 4
Th2TaP3Rh12 | GGA-PBE | relaxed

Cell and atoms, written as extended XYZ:
```
18
Lattice="-3.9985 -5.1547 -2.6235 3.3197 -2.2116 -5.7905 3.1979 -5.9914 1.8217" Properties=species:S:1:pos:R:3 pbc="T T T"
Rh 1.9115 -4.9141 -0.1497
Rh 0.5496 -10.2435 -2.8177
Rh -0.1632 -5.5180 -5.5048
Rh -1.5153 -4.5157 -2.2665
Rh 4.0344 -8.8420 -4.3258
Rh 2.6822 -7.8397 -1.0875
Rh 4.0258 -6.0050 -2.9173
Rh 1.9695 -3.1143 -3.7746
Rh 2.7531 -5.6395 -5.5185
Rh 0.6076 -8.4436 -6.4426
Rh -1.5067 -7.3527 -3.6750
Rh -0.2341 -7.7182 -1.0738
Ta 0.0000 0.0000 0.0000
P -1.9992 -2.5774 -1.3117
P 1.6598 -1.1058 -2.8953
P 1.5989 -2.9957 0.9109
Th 0.9842 -5.2191 -2.5757
Th 1.5348 -8.1386 -4.0165
```

Calculated values
DFT formation energy	-354	meV/atom

Record 5
TaTlPRh2 | GGA-PBE | relaxed

Cell and atoms, written as extended XYZ:
```
5
Lattice="4.8739 0.0000 0.0000 0.0000 4.7304 0.0000 0.0000 0.0000 4.8739" Properties=species:S:1:pos:R:3 pbc="T T T"
Rh 0.0000 0.0000 2.4369
Rh 2.4369 0.0000 0.0000
P 0.0000 2.3652 0.0000
Tl 0.0000 0.0000 0.0000
Ta 2.4369 2.3652 2.4369
```

Calculated values
DFT formation energy	1903	meV/atom
excess energy over the best structure of this formula in the dataset	1799.7	meV per atom

Record 6
TaTlPRh2 | GGA-PBE | relaxed

Cell and atoms, written as extended XYZ:
```
5
Lattice="4.4187 0.0000 0.0000 0.0000 4.7050 0.0000 0.0000 0.0000 4.4187" Properties=species:S:1:pos:R:3 pbc="T T T"
Rh 0.0000 0.0000 2.2094
Rh 2.2094 0.0000 0.0000
P 0.0000 0.0000 0.0000
Tl 2.2094 2.3525 2.2094
Ta 0.0000 2.3525 0.0000
```

Calculated values
DFT formation energy	103	meV/atom
excess energy over the best structure of this formula in the dataset	0.0	meV per atom

Record 7
Tm3TaP2Rh9 | GGA-PBE | relaxed

Cell and atoms, written as extended XYZ:
```
15
Lattice="-3.3132 -2.3957 4.1883 1.8544 -3.2646 -4.4902 7.6681 -2.2318 4.7894" Properties=species:S:1:pos:R:3 pbc="T T T"
Rh 1.5905 -5.0305 0.4995
Rh 2.3463 -2.0982 0.6559
Rh 3.3069 -3.7894 -1.6703
Rh 2.9024 -4.1027 6.1577
Rh 0.9272 -1.6323 -2.2451
Rh 4.6188 -2.8616 3.9880
Rh -1.6566 -1.1979 2.0941
Rh -0.7294 -2.8302 -0.1510
Rh 3.8631 -5.7939 3.8316
Ta 3.8341 -1.1159 2.3947
P 1.3190 -3.3205 -0.8559
P 4.8903 -4.5716 5.3434
Tm 1.4048 -3.5572 3.1664
Tm 0.0000 0.0000 0.0000
Tm 4.8045 -4.3349 1.3211
```

Calculated values
DFT formation energy	-590	meV/atom

Record 8
YTaP2Rh5 | GGA-PBE | relaxed

Cell and atoms, written as extended XYZ:
```
9
Lattice="4.0781 0.0000 0.0000 0.0000 4.0781 0.0000 0.0000 0.0000 10.8872" Properties=species:S:1:pos:R:3 pbc="T T T"
Rh 2.0390 0.0000 7.5462
Rh 0.0000 2.0390 3.3410
Rh 2.0390 0.0000 3.3410
Rh 0.0000 2.0390 7.5462
Rh 0.0000 0.0000 5.4436
P 0.0000 0.0000 2.3958
P 0.0000 0.0000 8.4915
Ta 0.0000 0.0000 0.0000
Y 2.0390 2.0390 5.4436
```

Calculated values
DFT formation energy	-39	meV/atom

Record 9
Tb2P3Rh5 | GGA-PBE | relaxed

Cell and atoms, written as extended XYZ:
```
20
Lattice="3.9747 0.0000 -0.6771 0.0000 6.5277 0.0000 0.0585 0.0000 12.3486" Properties=species:S:1:pos:R:3 pbc="T T T"
P 0.1986 6.4467 1.1661
P 3.8346 3.1829 10.5054
P 1.5931 0.2307 9.3524
P 2.4400 3.4945 2.3191
P 3.1343 4.4654 6.3945
P 0.8989 1.2016 5.2770
Tb 2.0737 1.8322 0.1684
Tb 3.3094 1.5696 7.4226
Tb 1.9595 5.0961 11.5031
Tb 0.7238 4.8334 4.2489
Rh 1.6539 2.6505 9.7088
Rh 0.2447 4.0298 1.4367
Rh 0.4988 1.5107 2.9282
Rh 2.3793 5.9143 1.9626
Rh 3.7885 0.7659 10.2348
Rh 3.5344 4.7746 8.7433
Rh 2.7907 2.5494 4.3773
Rh 2.9220 6.4709 5.1484
Rh 1.2425 5.8132 7.2942
Rh 1.1112 3.2071 6.5231
```

Calculated values
DFT formation energy	-961	meV/atom

Record 10
TbP2Rh5 | GGA-PBE | relaxed

Cell and atoms, written as extended XYZ:
```
8
Lattice="3.6954 0.0000 1.2284 1.3873 5.6130 1.9992 0.0226 0.4034 6.1044" Properties=species:S:1:pos:R:3 pbc="T T T"
Tb 0.0000 0.0000 0.0000
Rh 2.4884 4.9603 4.8592
Rh 2.6168 1.0561 4.4729
Rh 0.7049 3.0082 4.0518
Rh 3.1697 3.1668 2.8097
Rh 1.9355 2.8497 6.5224
P 3.8442 4.4721 6.9531
P 1.2610 1.5444 2.3790
```

Calculated values
DFT formation energy	-841	meV/atom

Record 11
Tb2PRh3 | GGA-PBE | relaxed

Cell and atoms, written as extended XYZ:
```
6
Lattice="4.5953 -0.0659 2.0468 1.3032 4.4071 2.0468 -0.0896 -0.0659 5.0297" Properties=species:S:1:pos:R:3 pbc="T T T"
Rh 0.6516 2.2035 1.0234
Rh -0.0448 -0.0330 2.5148
Rh 2.2976 -0.0330 1.0234
Tb 3.6457 2.6832 5.7259
Tb 2.1631 1.5920 3.3973
P 0.0000 0.0000 0.0000
```

Calculated values
DFT formation energy	-946	meV/atom

Record 12
TbP3Rh3 | GGA-PBE | relaxed

Cell and atoms, written as extended XYZ:
```
14
Lattice="-3.0957 5.5954 -2.0704 -0.1899 1.5095 -6.5470 -6.6337 -0.9167 -3.4692" Properties=species:S:1:pos:R:3 pbc="T T T"
Rh -4.6870 0.7672 -5.4893
Rh -4.1002 3.0035 -3.7964
Rh -5.8191 3.1847 -8.2903
Rh -5.2323 5.4210 -6.5973
Rh -3.2409 2.2253 -7.4879
Rh -6.6784 3.9629 -4.5987
Tb -7.7247 1.4541 -6.3412
Tb -2.1946 4.7341 -5.7454
P -5.2790 1.0082 -7.7668
P -2.6110 1.9352 -5.2920
P -4.6403 5.1800 -4.3198
P -7.3082 4.2529 -6.7946
P -3.7940 4.4408 -8.1051
P -6.1252 1.7474 -3.9815
```

Calculated values
DFT formation energy	-899	meV/atom